# 1
This record from Alexandria via LeMat-Bulk describes an optimized crystal structure of Sn4Pt2Rh. The functional is PBE.

Structure (CIF):
```
data_Sn4Pt2Rh
_cell_length_a 3.8066
_cell_length_b 6.7563
_cell_length_c 6.8944
_cell_angle_alpha 116.73
_cell_angle_beta 105.99
_cell_angle_gamma 90.09
_symmetry_space_group_name_H-M 'P -1'
_symmetry_Int_Tables_number 2
loop_
_symmetry_equiv_pos_as_xyz
'x,y,z'
'-x,-y,-z'
loop_
_atom_site_label
_atom_site_type_symbol
_atom_site_fract_x
_atom_site_fract_y
_atom_site_fract_z
_atom_site_occupancy
Sn1 Sn 0.0990 0.4544 0.1986 1
Sn2 Sn 0.3680 0.0411 0.7353 1
Pt1 Pt 0.2518 0.2828 0.5032 1
Rh1 Rh 0.0000 0.0000 0.0000 1
```

Properties
- V: 21.51 Å³ per atom
- Total DFT energy (no corrections): -5.534 eV/atom
- Calculated formation energy: -0.470 eV/atom


# 2
This record from Alexandria via LeMat-Bulk describes an optimized crystal structure of NdTh2ZrP4. The functional is PBE.

Structure (CIF):
```
data_NdTh2ZrP4
_cell_length_a 6.9823
_cell_length_b 4.0512
_cell_length_c 7.0274
_cell_angle_alpha 90.00
_cell_angle_beta 109.40
_cell_angle_gamma 90.00
_symmetry_space_group_name_H-M 'P 1 2/m 1'
_symmetry_Int_Tables_number 10
loop_
_symmetry_equiv_pos_as_xyz
'x,y,z'
'-x,-y,-z'
'-x,y,-z'
'x,-y,z'
loop_
_atom_site_label
_atom_site_type_symbol
_atom_site_fract_x
_atom_site_fract_y
_atom_site_fract_z
_atom_site_occupancy
Nd1 Nd 0.0000 0.0000 0.0000 1
Th1 Th 0.5000 0.0000 0.5000 1
Th2 Th 0.5000 0.5000 0.0000 1
Zr1 Zr 0.0000 0.5000 0.5000 1
P1 P 0.2352 0.0000 0.7346 1
P2 P 0.2431 0.5000 0.2590 1
```

Properties
- V: 23.44 Å³ per atom
- Total DFT energy (no corrections): -7.686 eV/atom
- Calculated formation energy: -1.462 eV/atom


# 3
This record from Alexandria via LeMat-Bulk describes an optimized crystal structure of PmH4Rh. The functional is PBE.

Structure (CIF):
```
data_PmH4Rh
_cell_length_a 3.8241
_cell_length_b 12.1437
_cell_length_c 4.9857
_cell_angle_alpha 90.00
_cell_angle_beta 90.00
_cell_angle_gamma 90.00
_symmetry_space_group_name_H-M 'C m c m'
_symmetry_Int_Tables_number 63
_symmetry_space_group_name_Hall '-C 2c 2'
loop_
_atom_site_label
_atom_site_type_symbol
_atom_site_fract_x
_atom_site_fract_y
_atom_site_fract_z
_atom_site_occupancy
Pm1 Pm 0.0000 0.1338 0.2500 1
H1 H 0.0000 0.0952 0.7500 1
H2 H 0.0000 0.3048 0.5087 1
H3 H 0.0000 0.5000 0.0000 1
Rh1 Rh 0.0000 0.3994 0.2500 1
```

Properties
- V: 9.65 Å³ per atom
- Distance to the lowest polymorph of the same formula: 0 meV per atom
- Total DFT energy (no corrections): -4.785 eV/atom